A PBEsol-optimized structure of RbBa2Au2. Source: Alexandria, functional SCAN.

Summary:
formation energy from the elements: -3.03 eV per formula unit
SG: P4/mbm (127)

The structure in POSCAR format:
```
RbBa2Au2
1.0
4.434 0.000 0.000
0.000 8.957 0.000
0.000 0.000 8.957
Au Ba Rb
4 4 2
Cartesian
0.000 3.373 7.851 Au
0.000 7.851 5.584 Au
0.000 5.584 1.105 Au
0.000 1.105 3.373 Au
2.217 1.416 5.895 Ba
2.217 5.895 7.540 Ba
2.217 7.540 3.062 Ba
2.217 3.062 1.416 Ba
0.000 0.000 0.000 Rb
0.000 4.478 4.478 Rb
```

A PBEsol-optimized structure of ReAuSe2. Source: Alexandria, functional SCAN.

Summary:
SG: P4mm (99)
uncorrected formation energy: 1.407 eV/f.u.

The structure in POSCAR format:
```
ReAuSe2
1.0
2.931 0.000 0.000
0.000 2.931 0.000
0.000 0.000 8.678
Au Re Se
1 1 2
Cartesian
0.000 0.000 4.609 Au
1.466 1.466 6.555 Re
0.000 0.000 8.028 Se
1.466 1.466 2.503 Se
```

A PBEsol-optimized structure of CdSeCl2. Source: Alexandria, functional SCAN.

Summary:
SG: Fmmm (69)
uncorrected formation energy: -1.126 eV/f.u.

The structure in POSCAR format:
```
CdSeCl2
1.0
4.796 0.004 0.000
-0.853 4.718 0.000
-1.972 -2.361 3.956
Cl Se Cd
2 1 1
Cartesian
-0.986 -1.181 1.978 Cl
0.986 1.181 1.978 Cl
-0.426 2.359 0.000 Se
2.398 0.002 0.000 Cd
```

A PBEsol-optimized structure of Tl2HgAs. Source: Alexandria, functional SCAN.

Summary:
formation energy from the elements: 0.28 eV per formula unit
SG: I-42d (122)

The structure in POSCAR format:
```
Tl2HgAs
1.0
-1.337 -2.445 4.994
5.231 -1.128 4.123
-1.446 4.310 4.997
As Tl Hg
2 4 2
Cartesian
-0.669 -1.222 2.497 As
1.558 0.980 5.809 As
-1.318 0.892 5.815 Tl
4.099 0.456 7.052 Tl
1.799 -1.224 3.976 Tl
0.314 1.351 11.388 Tl
0.000 0.000 0.000 Hg
0.889 -0.242 8.306 Hg
```

A PBEsol-optimized structure of CaZr2Cl. Source: Alexandria, functional SCAN.

Summary:
SG: Fm-3m (225)
uncorrected formation energy: 2.880 eV/f.u.

The structure in POSCAR format:
```
CaZr2Cl
1.0
5.063 0.000 0.000
2.531 4.384 0.000
2.531 1.461 4.134
Ca Zr Cl
1 2 1
Cartesian
0.000 0.000 0.000 Ca
2.531 1.461 1.033 Zr
7.594 4.384 3.100 Zr
5.063 2.923 2.067 Cl
```

A PBEsol-optimized structure of NaNbCl6. Source: Alexandria, functional SCAN.

Summary:
SG: P2_1/c (14)
uncorrected formation energy: -12.358 eV/f.u.

The structure in POSCAR format:
```
NaNbCl6
1.0
-1.866 -5.903 -1.871
3.020 -2.694 5.488
-15.990 2.546 10.051
Na Nb Cl
4 4 24
Cartesian
-10.919 -4.979 10.458 Na
-11.528 -0.141 8.932 Na
-3.917 -1.072 3.209 Na
-3.308 -5.910 4.735 Na
-8.152 -1.902 9.626 Nb
-14.880 -2.696 8.703 Nb
-6.684 -4.148 4.042 Nb
0.044 -3.355 4.965 Nb
-2.087 -3.857 6.146 Cl
-4.371 -3.808 3.191 Cl
-12.749 -2.194 7.522 Cl
-10.465 -2.243 10.477 Cl
-0.728 -4.627 3.201 Cl
-7.028 -1.881 3.780 Cl
-14.108 -1.424 10.467 Cl
-7.808 -4.169 9.888 Cl
-1.163 -1.422 4.117 Cl
-4.211 -7.209 7.190 Cl
-13.673 -4.628 9.551 Cl
-10.625 1.159 6.478 Cl
1.950 -2.650 3.933 Cl
-8.824 -4.644 4.648 Cl
-16.786 -3.401 9.735 Cl
-6.012 -1.407 9.020 Cl
-1.358 -7.883 5.051 Cl
-4.185 -0.598 5.948 Cl
-13.478 1.833 8.617 Cl
-10.650 -5.453 7.720 Cl
-2.011 -2.436 0.579 Cl
-5.864 -3.966 6.185 Cl
-12.825 -3.615 13.089 Cl
-8.972 -2.085 7.483 Cl
```

Number 1: VASP energy -48.237 eV/atom, magnetic moment 0.00 μB per atom. Number 2: VASP energy -44.751 eV/atom, magnetic moment 0.00 μB per atom. Number 3: VASP energy -16.894 eV/atom, magnetic moment 0.00 μB per atom. Number 4: VASP energy -58.198 eV/atom, magnetic moment 0.00 μB per atom. Number 5: VASP energy -19.040 eV/atom, magnetic moment 0.00 μB per atom. Number 6: VASP energy -12.196 eV/atom, magnetic moment 0.00 μB per atom.